[1]
Compound: AcIn6Pd4
Source: the Open Quantum Materials Database
Functional: PBE-GGA
Structure: optimized geometry

Results
Calculated total energy (eV per atom): -4.303

Lattice parameters (Å, degrees): 7.897 7.897 4.427 90.00 90.00 120.00
Positions (direct):
Ac 0.000 0.000 0.000
In 0.198 0.396 0.500
In 0.198 0.802 0.500
In 0.535 0.070 0.000
In 0.535 0.465 0.000
In 0.604 0.802 0.500
In 0.930 0.465 0.000
Pd 0.333 0.667 0.000
Pd 0.411 0.206 0.500
Pd 0.794 0.206 0.500
Pd 0.794 0.589 0.500



[2]
Compound: Tl2InCuCl6
Source: the Open Quantum Materials Database
Functional: PBE-GGA
Structure: optimized geometry

Results
Excess energy over the best structure of this formula in the dataset (meV/atom): 4
Calculated total energy (eV per atom): -3.139

Lattice parameters (Å, degrees): 7.078 7.097 12.362 90.00 124.77 90.00
Positions (direct):
Tl 0.243 0.034 0.250
Tl 0.243 0.466 0.750
Tl 0.757 0.534 0.250
Tl 0.757 0.966 0.750
In 0.500 0.000 0.000
In 0.500 0.500 0.500
Cu 0.000 0.000 0.500
Cu 0.000 0.500 0.000
Cl 0.191 0.222 0.977
Cl 0.191 0.278 0.477
Cl 0.255 0.714 0.978
Cl 0.255 0.786 0.478
Cl 0.294 0.501 0.249
Cl 0.294 0.999 0.749
Cl 0.706 0.001 0.251
Cl 0.706 0.499 0.751
Cl 0.745 0.214 0.522
Cl 0.745 0.286 0.022
Cl 0.809 0.722 0.523
Cl 0.809 0.778 0.023



[3]
Compound: LuMgMo
Source: the Open Quantum Materials Database
Functional: PBE-GGA
Structure: optimized geometry

Results
Excess energy over the best structure of this formula in the dataset (meV/atom): 0
Calculated total energy (eV per atom): -4.731

Lattice parameters (Å, degrees): 4.765 4.765 4.765 60.00 60.00 60.00
Positions (direct):
Lu 0.000 0.000 0.000
Mg 0.500 0.500 0.500
Mo 0.250 0.250 0.250



[4]
Compound: ZrGe2Pd
Source: the Open Quantum Materials Database
Functional: PBE-GGA
Structure: optimized geometry

Results
Calculated total energy (eV per atom): -5.993

Lattice parameters (Å, degrees): 4.693 4.693 4.693 60.00 60.00 60.00
Positions (direct):
Zr 0.000 0.000 0.000
Ge 0.250 0.250 0.250
Ge 0.500 0.500 0.500
Pd 0.750 0.750 0.750



[5]
Compound: Cs2Li2Ho
Source: the Open Quantum Materials Database
Functional: PBE-GGA
Structure: optimized geometry

Results
Calculated total energy (eV per atom): -1.617

Lattice parameters (Å, degrees): 5.405 5.405 9.938 90.00 90.00 120.00
Positions (direct):
Cs 0.333 0.667 0.178
Cs 0.667 0.333 0.822
Li 0.333 0.667 0.560
Li 0.667 0.333 0.440
Ho 0.000 0.000 0.500



[6]
Compound: NaTbBeTe3
Source: the Open Quantum Materials Database
Functional: PBE-GGA
Structure: optimized geometry

Results
Calculated total energy (eV per atom): -4.117

Lattice parameters (Å, degrees): 7.558 7.558 11.616 90.00 90.00 147.74
Positions (direct):
Na 0.245 0.755 0.750
Na 0.755 0.245 0.250
Tb 0.000 0.000 0.000
Tb 0.000 0.000 0.500
Be 0.466 0.534 0.250
Be 0.534 0.466 0.750
Te 0.073 0.927 0.250
Te 0.362 0.638 0.081
Te 0.362 0.638 0.419
Te 0.638 0.362 0.581
Te 0.638 0.362 0.919
Te 0.927 0.073 0.750



[7]
Compound: MgCo6Ge6
Source: the Open Quantum Materials Database
Functional: PBE-GGA
Structure: optimized geometry

Results
Calculated total energy (eV per atom): -5.767

Lattice parameters (Å, degrees): 5.064 5.064 7.713 90.00 90.00 120.00
Positions (direct):
Mg 0.000 0.000 0.000
Co 0.000 0.500 0.250
Co 0.000 0.500 0.750
Co 0.500 0.000 0.250
Co 0.500 0.000 0.750
Co 0.500 0.500 0.250
Co 0.500 0.500 0.750
Ge 0.000 0.000 0.337
Ge 0.000 0.000 0.663
Ge 0.333 0.667 0.000
Ge 0.333 0.667 0.500
Ge 0.667 0.333 0.000
Ge 0.667 0.333 0.500



[8]
Compound: NaTe5Au3
Source: the Open Quantum Materials Database
Functional: PBE-GGA
Structure: optimized geometry

Results
Calculated total energy (eV per atom): -2.959

Lattice parameters (Å, degrees): 5.831 5.831 8.789 90.00 90.00 120.00
Positions (direct):
Na 0.000 0.000 0.000
Te 0.000 0.000 0.500
Te 0.333 0.667 0.155
Te 0.333 0.667 0.845
Te 0.667 0.333 0.155
Te 0.667 0.333 0.845
Au 0.000 0.500 0.500
Au 0.500 0.000 0.500
Au 0.500 0.500 0.500



Repeat the sixth record exactly.
Compound: NaTbBeTe3
Source: the Open Quantum Materials Database
Functional: PBE-GGA
Structure: optimized geometry

Results
Calculated total energy (eV per atom): -4.117

Lattice parameters (Å, degrees): 7.558 7.558 11.616 90.00 90.00 147.74
Positions (direct):
Na 0.245 0.755 0.750
Na 0.755 0.245 0.250
Tb 0.000 0.000 0.000
Tb 0.000 0.000 0.500
Be 0.466 0.534 0.250
Be 0.534 0.466 0.750
Te 0.073 0.927 0.250
Te 0.362 0.638 0.081
Te 0.362 0.638 0.419
Te 0.638 0.362 0.581
Te 0.638 0.362 0.919
Te 0.927 0.073 0.750